No. 1
Compound: Cs2Tl2Ag
Source: Alexandria via LeMat-Bulk
Functional: GGA-PBE
Structure: optimized geometry

Lattice parameters (Å, degrees): 5.2961 6.4470 7.6273 115.00 110.32 90.00
Fractional positions:
Cs (0.1879, 0.6878, 0.3759)
Cs (0.8121, 0.3122, 0.6241)
Tl (0.5000, 0.7636, 0.0001)
Tl (0.5000, 0.2364, 0.9999)
Ag (0.0000, 0.0000, 0.0000)

Results
E   -9.47 eV/cell
E_form   -0.035 eV per atom
Excess energy over the best structure of this formula in the dataset   0 meV per atom

No. 2
Compound: Cs4TlAg
Source: Alexandria via LeMat-Bulk
Functional: GGA-PBE
Structure: optimized geometry

Lattice parameters (Å, degrees): 10.7334 10.7334 8.6459 72.29 72.29 110.70
Fractional positions:
Cs (0.6425, 0.7650, 0.2215)
Cs (0.9454, 0.2930, 0.9142)
Cs (0.2350, 0.3575, 0.2785)
Cs (0.7070, 0.0546, 0.5858)
Cs (0.2930, 0.9454, 0.4142)
Cs (0.7650, 0.6425, 0.7215)
Cs (0.0546, 0.7070, 0.0858)
Cs (0.3575, 0.2350, 0.7785)
Tl (0.6367, 0.3633, 0.2500)
Tl (0.3633, 0.6367, 0.7500)
Ag (0.9983, 0.0017, 0.7500)
Ag (0.0017, 0.9983, 0.2500)

Results
E   -16.92 eV/cell
E_form   0.029 eV per atom

Which value of E does entry 1 give? -9.47 eV/cell